#i
{"formula": "TlBr", "functional": "PBEsol", "state": "optimized geometry", "mass_density_g_cm3": 7.9, "sg": "Pm-3m", "lattice_angstrom": [[3.902, 0.000, 0.000], [0.000, 3.902, 0.000], [0.000, 0.000, 3.902]], "species": ["Tl", "Br"], "fractional_positions": [[0.000, 0.000, 0.000], [0.500, 0.500, 0.500]]}

=====

#ii
{"formula": "TlBr", "functional": "PBEsol", "state": "optimized geometry", "mass_density_g_cm3": 5.5, "sg": "R-3m", "lattice_angstrom": [[5.464, 0.000, 0.000], [2.732, 4.732, 0.000], [2.732, 1.577, 6.582]], "species": ["Tl", "Tl", "Br", "Br"], "fractional_positions": [[0.087, 0.087, 0.739], [0.913, 0.913, 0.261], [0.241, 0.241, 0.276], [0.759, 0.759, 0.724]]}

=====

List of relative energies, unit eV/atom: #i 0.000; #ii 0.090

=====

#i
{"formula": "YTlBr2", "functional": "PBEsol", "state": "optimized geometry", "mass_density_g_cm3": 6.8, "sg": "Amm2", "lattice_angstrom": [[3.943, 0.000, 0.000], [0.000, 5.319, 0.000], [-1.972, 0.000, 5.253]], "species": ["Y", "Tl", "Br", "Br"], "fractional_positions": [[0.307, 0.500, 0.613], [0.905, 0.000, 0.811], [0.195, 0.000, 0.391], [0.596, 0.500, 0.191]]}

=====

#ii
{"formula": "YTlBr2", "functional": "PBEsol", "state": "optimized geometry", "mass_density_g_cm3": 6.3, "sg": "Cmm2", "lattice_angstrom": [[-3.425, 0.971, -1.111], [1.086, -3.454, -0.893], [-3.600, -3.264, 8.245]], "species": ["Y", "Tl", "Br", "Br"], "fractional_positions": [[0.500, 0.500, 0.250], [0.000, 0.000, 0.499], [0.000, 0.000, 0.045], [0.500, 0.500, 0.705]]}

=====

List of relative energies, unit eV/atom: #i 0.000; #ii 0.210

=====

#i
{"formula": "Y2TlBr", "functional": "PBEsol", "state": "optimized geometry", "mass_density_g_cm3": 7.1, "sg": "Imm2", "lattice_angstrom": [[3.568, 0.000, 0.000], [0.000, 4.503, 0.000], [-1.784, -2.252, 6.747]], "species": ["Y", "Y", "Tl", "Br"], "fractional_positions": [[0.047, 0.547, 0.095], [0.787, 0.787, 0.574], [0.205, 0.205, 0.409], [0.461, 0.961, 0.922]]}

=====

#ii
{"formula": "Y2TlBr", "functional": "PBEsol", "state": "optimized geometry", "mass_density_g_cm3": 7.2, "sg": "Cmmm", "lattice_angstrom": [[-1.290, 2.989, 1.357], [1.043, -2.382, 2.383], [8.668, 3.758, -0.037]], "species": ["Y", "Y", "Tl", "Br"], "fractional_positions": [[0.000, 0.000, 0.256], [0.000, 0.000, 0.744], [0.500, 0.500, 0.000], [0.500, 0.500, 0.500]]}

=====

List of relative energies, unit eV/atom: #i 0.000; #ii 0.046

=====

#i
{"formula": "YTl2Br", "functional": "PBEsol", "state": "optimized geometry", "mass_density_g_cm3": 8.9, "sg": "P4/mmm", "lattice_angstrom": [[3.721, 0.000, 0.000], [0.000, 5.368, 0.000], [0.000, 0.000, 5.368]], "species": ["Y", "Tl", "Tl", "Br"], "fractional_positions": [[0.500, 0.500, 0.500], [0.000, 0.000, 0.500], [0.000, 0.500, 0.000], [0.500, 0.000, 0.000]]}

=====

#ii
{"formula": "YTl2Br", "functional": "PBEsol", "state": "optimized geometry", "mass_density_g_cm3": 8.8, "sg": "Imm2", "lattice_angstrom": [[-1.940, -2.777, 0.804], [-0.288, -1.375, -5.444], [5.747, -1.006, 2.853]], "species": ["Y", "Tl", "Tl", "Br"], "fractional_positions": [[0.480, 0.480, 0.960], [0.004, 0.004, 0.007], [0.235, 0.735, 0.469], [0.782, 0.282, 0.564]]}

=====

List of relative energies, unit eV/atom: #i 0.117; #ii 0.000

=====

#i
{"formula": "ZrTlBr2", "functional": "PBEsol", "state": "optimized geometry", "mass_density_g_cm3": 7.7, "sg": "P4mm", "lattice_angstrom": [[-0.074, -3.239, -1.811], [3.252, -0.929, 1.529], [-3.441, -2.997, 5.501]], "species": ["Tl", "Br", "Br", "Zr"], "fractional_positions": [[0.000, 0.000, 0.515], [0.000, 0.000, 0.948], [0.500, 0.500, 0.208], [0.500, 0.500, 0.829]]}

=====

#ii
{"formula": "ZrTlBr2", "functional": "PBEsol", "state": "optimized geometry", "mass_density_g_cm3": 8.0, "sg": "Pmmm", "lattice_angstrom": [[3.422, 0.000, 0.000], [0.000, 4.800, 0.000], [0.000, 0.000, 5.756]], "species": ["Tl", "Br", "Br", "Zr"], "fractional_positions": [[0.500, 0.500, 0.000], [0.000, 0.000, 0.000], [0.500, 0.000, 0.500], [0.000, 0.500, 0.500]]}

=====

#iii
{"formula": "ZrTlBr2", "functional": "PBEsol", "state": "optimized geometry", "mass_density_g_cm3": 8.2, "sg": "I4/mmm", "lattice_angstrom": [[4.662, 0.000, 0.000], [0.000, 4.662, 0.000], [-2.331, -2.331, 4.237]], "species": ["Tl", "Br", "Br", "Zr"], "fractional_positions": [[0.500, 0.500, 0.000], [0.750, 0.250, 0.500], [0.250, 0.750, 0.500], [0.000, 0.000, 0.000]]}

=====

List of relative energies, unit eV/atom: #i 0.000; #ii 0.253; #iii 0.311

=====

#i
{"formula": "WBr5", "functional": "PBEsol", "state": "optimized geometry", "mass_density_g_cm3": 5.5, "sg": "C2/m", "lattice_angstrom": [[5.972, 0.012, 0.011], [-0.046, 13.313, -0.128], [-0.046, 0.751, 13.293]], "species": ["Br", "Br", "Br", "Br", "Br", "Br", "Br", "Br", "Br", "Br", "Br", "Br", "Br", "Br", "Br", "Br", "Br", "Br", "Br", "Br", "Br", "Br", "Br", "Br", "Br", "Br", "Br", "Br", "Br", "Br", "W", "W", "W", "W", "W", "W"], "fractional_positions": [[0.233, 0.051, 0.051], [0.767, 0.949, 0.949], [0.253, 0.861, 0.248], [0.747, 0.752, 0.139], [0.747, 0.139, 0.752], [0.253, 0.248, 0.861], [0.766, 0.004, 0.202], [0.234, 0.798, 0.996], [0.234, 0.996, 0.798], [0.766, 0.202, 0.004], [0.737, 0.283, 0.283], [0.263, 0.717, 0.717], [0.753, 0.085, 0.473], [0.247, 0.527, 0.915], [0.247, 0.915, 0.527], [0.753, 0.473, 0.085], [0.268, 0.132, 0.329], [0.732, 0.671, 0.868], [0.732, 0.868, 0.671], [0.268, 0.329, 0.132], [0.272, 0.384, 0.384], [0.728, 0.616, 0.616], [0.251, 0.195, 0.581], [0.749, 0.419, 0.805], [0.749, 0.805, 0.419], [0.251, 0.581, 0.195], [0.738, 0.337, 0.536], [0.262, 0.464, 0.663], [0.262, 0.663, 0.464], [0.738, 0.536, 0.337], [0.000, 0.891, 0.109], [0.000, 0.109, 0.891], [0.504, 0.224, 0.442], [0.496, 0.558, 0.776], [0.496, 0.776, 0.558], [0.504, 0.442, 0.224]]}

=====

#ii
{"formula": "WBr5", "functional": "PBEsol", "state": "optimized geometry", "mass_density_g_cm3": 5.8, "sg": "Amm2", "lattice_angstrom": [[-2.402, 2.365, -1.693], [-3.430, -5.901, 0.826], [-2.169, 2.102, 6.013]], "species": ["Br", "Br", "Br", "Br", "Br", "W"], "fractional_positions": [[0.028, 0.056, 0.000], [0.693, 0.386, 0.000], [0.360, 0.721, 0.000], [0.490, 0.981, 0.500], [0.233, 0.467, 0.500], [0.862, 0.724, 0.500]]}

=====

List of relative energies, unit eV/atom: #i 0.000; #ii 0.799